w:
DFT (PBE) results for crystalline PmMg2 at its relaxed geometry.

```
data_PmMg2
_cell_length_a 6.2479
_cell_length_b 6.2479
_cell_length_c 5.8845
_cell_angle_alpha 90.00
_cell_angle_beta 90.00
_cell_angle_gamma 90.00
_symmetry_space_group_name_H-M 'P 1'
_symmetry_Int_Tables_number 1
loop_
_symmetry_equiv_pos_as_xyz
'x,y,z'
loop_
_atom_site_label
_atom_site_fract_x
_atom_site_fract_y
_atom_site_fract_z
Mg1 0.3424 0.3424 0.0000
Mg2 0.6576 0.6576 0.0000
Mg3 0.8424 0.1576 0.5000
Mg4 0.1576 0.8424 0.5000
Pm1 0.0000 0.0000 0.0000
Pm2 0.5000 0.5000 0.5000
```

## Properties
V in Å³ per atom: 38.29

x:
DFT (PBE) results for crystalline PmMg2 at its relaxed geometry.

```
data_PmMg2
_cell_length_a 4.9490
_cell_length_b 12.8872
_cell_length_c 5.0311
_cell_angle_alpha 90.00
_cell_angle_beta 90.00
_cell_angle_gamma 90.00
_symmetry_space_group_name_H-M 'P 1'
_symmetry_Int_Tables_number 1
loop_
_symmetry_equiv_pos_as_xyz
'x,y,z'
loop_
_atom_site_label
_atom_site_fract_x
_atom_site_fract_y
_atom_site_fract_z
Mg1 0.4158 0.1754 0.0000
Mg2 0.9148 0.3333 0.0000
Mg3 0.4158 0.4913 0.0000
Mg4 0.4164 0.8333 0.0000
Mg5 0.4170 0.3333 0.5000
Mg6 0.4176 0.6754 0.5000
Mg7 0.9185 0.8333 0.5000
Mg8 0.4176 0.9913 0.5000
Pm1 0.9168 0.6682 0.0000
Pm2 0.9168 0.9985 0.0000
Pm3 0.9165 0.1682 0.5000
Pm4 0.9165 0.4985 0.5000
```

## Properties
V in Å³ per atom: 26.74

We find x to be the most stable, with the next structure 800 meV/atom higher.

w:
DFT (PBE) results for crystalline PmMg2 at its relaxed geometry.

```
data_PmMg2
_cell_length_a 17.5962
_cell_length_b 3.3280
_cell_length_c 5.5321
_cell_angle_alpha 90.00
_cell_angle_beta 90.00
_cell_angle_gamma 90.00
_symmetry_space_group_name_H-M 'P 1'
_symmetry_Int_Tables_number 1
loop_
_symmetry_equiv_pos_as_xyz
'x,y,z'
loop_
_atom_site_label
_atom_site_fract_x
_atom_site_fract_y
_atom_site_fract_z
Mg1 0.0032 0.0000 0.0000
Mg2 0.6637 0.0000 0.0000
Mg3 0.1637 0.5000 0.0000
Mg4 0.5032 0.5000 0.0000
Mg5 0.4413 0.0000 0.5000
Mg6 0.7807 0.0000 0.5000
Mg7 0.2807 0.5000 0.5000
Mg8 0.9413 0.5000 0.5000
Pm1 0.3292 0.0000 0.0000
Pm2 0.8292 0.5000 0.0000
Pm3 0.1153 0.0000 0.5000
Pm4 0.6153 0.5000 0.5000
```

## Properties
V in Å³ per atom: 27.00

x:
DFT (PBE) results for crystalline PmMg2 at its relaxed geometry.

```
data_PmMg2
_cell_length_a 5.9506
_cell_length_b 5.9506
_cell_length_c 5.3357
_cell_angle_alpha 90.00
_cell_angle_beta 90.00
_cell_angle_gamma 60.00
_symmetry_space_group_name_H-M 'P 1'
_symmetry_Int_Tables_number 1
loop_
_symmetry_equiv_pos_as_xyz
'x,y,z'
loop_
_atom_site_label
_atom_site_fract_x
_atom_site_fract_y
_atom_site_fract_z
Mg1 0.6667 0.6667 0.0000
Mg2 0.9754 0.3580 0.5000
Mg3 0.3580 0.6667 0.5000
Mg4 0.6667 0.9754 0.5000
Pm1 0.0000 0.0000 0.0000
Pm2 0.3333 0.3333 0.0000
```

## Properties
V in Å³ per atom: 27.27

We find w to be the most stable, with the next structure 47 meV/atom higher.

w:
DFT (PBE) results for crystalline PmMgSb at its relaxed geometry.

```
data_PmMgSb
_cell_length_a 5.0362
_cell_length_b 5.0362
_cell_length_c 5.0362
_cell_angle_alpha 60.00
_cell_angle_beta 60.00
_cell_angle_gamma 60.00
_symmetry_space_group_name_H-M 'P 1'
_symmetry_Int_Tables_number 1
loop_
_symmetry_equiv_pos_as_xyz
'x,y,z'
loop_
_atom_site_label
_atom_site_fract_x
_atom_site_fract_y
_atom_site_fract_z
Mg1 0.0000 0.0000 0.0000
Pm1 0.5000 0.5000 0.5000
Sb1 0.7500 0.7500 0.7500
```

## Properties
V in Å³ per atom: 30.11

x:
DFT (PBE) results for crystalline PmMgSb at its relaxed geometry.

```
data_PmMgSb
_cell_length_a 5.1702
_cell_length_b 5.1702
_cell_length_c 5.1702
_cell_angle_alpha 60.00
_cell_angle_beta 60.00
_cell_angle_gamma 60.00
_symmetry_space_group_name_H-M 'P 1'
_symmetry_Int_Tables_number 1
loop_
_symmetry_equiv_pos_as_xyz
'x,y,z'
loop_
_atom_site_label
_atom_site_fract_x
_atom_site_fract_y
_atom_site_fract_z
Mg1 0.0000 0.0000 0.0000
Pm1 0.7500 0.7500 0.7500
Sb1 0.5000 0.5000 0.5000
```

## Properties
V in Å³ per atom: 32.58

We find w to be the most stable, with the next structure 101 meV/atom higher.

w:
DFT (PBE) results for crystalline PmMgSc at its relaxed geometry.

```
data_PmMgSc
_cell_length_a 5.0908
_cell_length_b 5.0908
_cell_length_c 5.0908
_cell_angle_alpha 60.00
_cell_angle_beta 60.00
_cell_angle_gamma 60.00
_symmetry_space_group_name_H-M 'P 1'
_symmetry_Int_Tables_number 1
loop_
_symmetry_equiv_pos_as_xyz
'x,y,z'
loop_
_atom_site_label
_atom_site_fract_x
_atom_site_fract_y
_atom_site_fract_z
Mg1 0.0000 0.0000 0.0000
Pm1 0.2500 0.2500 0.2500
Sc1 0.7500 0.7500 0.7500
```

## Properties
V in Å³ per atom: 31.10

x:
DFT (PBE) results for crystalline PmMgSc at its relaxed geometry.

```
data_PmMgSc
_cell_length_a 5.1224
_cell_length_b 5.1224
_cell_length_c 5.1224
_cell_angle_alpha 60.00
_cell_angle_beta 60.00
_cell_angle_gamma 60.00
_symmetry_space_group_name_H-M 'P 1'
_symmetry_Int_Tables_number 1
loop_
_symmetry_equiv_pos_as_xyz
'x,y,z'
loop_
_atom_site_label
_atom_site_fract_x
_atom_site_fract_y
_atom_site_fract_z
Mg1 0.2500 0.2500 0.2500
Pm1 0.0000 0.0000 0.0000
Sc1 0.7500 0.7500 0.7500
```

## Properties
V in Å³ per atom: 31.68

We find w to be the most stable, with the next structure 296 meV/atom higher.

w:
DFT (PBE) results for crystalline PmMgTa at its relaxed geometry.

```
data_PmMgTa
_cell_length_a 4.8362
_cell_length_b 4.8362
_cell_length_c 4.8362
_cell_angle_alpha 60.00
_cell_angle_beta 60.00
_cell_angle_gamma 60.00
_symmetry_space_group_name_H-M 'P 1'
_symmetry_Int_Tables_number 1
loop_
_symmetry_equiv_pos_as_xyz
'x,y,z'
loop_
_atom_site_label
_atom_site_fract_x
_atom_site_fract_y
_atom_site_fract_z
Mg1 0.0000 0.0000 0.0000
Pm1 0.2500 0.2500 0.2500
Ta1 0.7500 0.7500 0.7500
```

## Properties
V in Å³ per atom: 26.66

x:
DFT (PBE) results for crystalline PmMgTa at its relaxed geometry.

```
data_PmMgTa
_cell_length_a 4.9762
_cell_length_b 4.9762
_cell_length_c 4.9762
_cell_angle_alpha 60.00
_cell_angle_beta 60.00
_cell_angle_gamma 60.00
_symmetry_space_group_name_H-M 'P 1'
_symmetry_Int_Tables_number 1
loop_
_symmetry_equiv_pos_as_xyz
'x,y,z'
loop_
_atom_site_label
_atom_site_fract_x
_atom_site_fract_y
_atom_site_fract_z
Mg1 0.2500 0.2500 0.2500
Pm1 0.0000 0.0000 0.0000
Ta1 0.7500 0.7500 0.7500
```

## Properties
V in Å³ per atom: 29.04

We find w to be the most stable, with the next structure 361 meV/atom higher.

w:
DFT (PBE) results for crystalline PmMgTe at its relaxed geometry.

```
data_PmMgTe
_cell_length_a 5.2344
_cell_length_b 5.2344
_cell_length_c 5.2344
_cell_angle_alpha 60.00
_cell_angle_beta 60.00
_cell_angle_gamma 60.00
_symmetry_space_group_name_H-M 'P 1'
_symmetry_Int_Tables_number 1
loop_
_symmetry_equiv_pos_as_xyz
'x,y,z'
loop_
_atom_site_label
_atom_site_fract_x
_atom_site_fract_y
_atom_site_fract_z
Mg1 0.2500 0.2500 0.2500
Pm1 0.0000 0.0000 0.0000
Te1 0.7500 0.7500 0.7500
```

## Properties
V in Å³ per atom: 33.80

x:
DFT (PBE) results for crystalline PmMgTe at its relaxed geometry.

```
data_PmMgTe
_cell_length_a 5.1739
_cell_length_b 5.1739
_cell_length_c 5.1739
_cell_angle_alpha 60.00
_cell_angle_beta 60.00
_cell_angle_gamma 60.00
_symmetry_space_group_name_H-M 'P 1'
_symmetry_Int_Tables_number 1
loop_
_symmetry_equiv_pos_as_xyz
'x,y,z'
loop_
_atom_site_label
_atom_site_fract_x
_atom_site_fract_y
_atom_site_fract_z
Mg1 0.2500 0.2500 0.2500
Pm1 0.7500 0.7500 0.7500
Te1 0.0000 0.0000 0.0000
```

## Properties
V in Å³ per atom: 32.65

We find x to be the most stable, with the next structure 50 meV/atom higher.

w:
DFT (PBE) results for crystalline PrMgTlS3 at its relaxed geometry.

```
data_PrMgTlS3
_cell_length_a 11.3462
_cell_length_b 4.2096
_cell_length_c 13.8074
_cell_angle_alpha 90.00
_cell_angle_beta 90.00
_cell_angle_gamma 90.00
_symmetry_space_group_name_H-M 'P 1'
_symmetry_Int_Tables_number 1
loop_
_symmetry_equiv_pos_as_xyz
'x,y,z'
loop_
_atom_site_label
_atom_site_fract_x
_atom_site_fract_y
_atom_site_fract_z
Mg1 0.7687 0.7500 0.2110
Mg2 0.2687 0.7500 0.2890
Mg3 0.7313 0.2500 0.7110
Mg4 0.2313 0.2500 0.7890
Pr1 0.5152 0.2500 0.2230
Pr2 0.0152 0.2500 0.2770
Pr3 0.9848 0.7500 0.7230
Pr4 0.4848 0.7500 0.7770
S1 0.6001 0.7500 0.1054
S2 0.9633 0.7500 0.1393
S3 0.2594 0.2500 0.1920
S4 0.7594 0.2500 0.3080
S5 0.4633 0.7500 0.3607
S6 0.1001 0.7500 0.3946
S7 0.8999 0.2500 0.6054
S8 0.5367 0.2500 0.6393
S9 0.2406 0.7500 0.6920
S10 0.7406 0.7500 0.8080
S11 0.0367 0.2500 0.8607
S12 0.3999 0.2500 0.8946
Tl1 0.1926 0.7500 0.0067
Tl2 0.6926 0.7500 0.4933
Tl3 0.3074 0.2500 0.5067
Tl4 0.8074 0.2500 0.9933
```

## Properties
V in Å³ per atom: 27.48

x:
DFT (PBE) results for crystalline PrMgTlS3 at its relaxed geometry.

```
data_PrMgTlS3
_cell_length_a 7.3793
_cell_length_b 7.3793
_cell_length_c 11.3062
_cell_angle_alpha 90.00
_cell_angle_beta 90.00
_cell_angle_gamma 146.88
_symmetry_space_group_name_H-M 'P 1'
_symmetry_Int_Tables_number 1
loop_
_symmetry_equiv_pos_as_xyz
'x,y,z'
loop_
_atom_site_label
_atom_site_fract_x
_atom_site_fract_y
_atom_site_fract_z
Mg1 0.4662 0.5338 0.2500
Mg2 0.5338 0.4662 0.7500
Pr1 0.0000 0.0000 0.0000
Pr2 0.0000 0.0000 0.5000
S1 0.3751 0.6249 0.0701
S2 0.0610 0.9390 0.2500
S3 0.3751 0.6249 0.4299
S4 0.6249 0.3751 0.5701
S5 0.9390 0.0610 0.7500
S6 0.6249 0.3751 0.9299
Tl1 0.7524 0.2476 0.2500
Tl2 0.2476 0.7524 0.7500
```

## Properties
V in Å³ per atom: 28.03

We find w to be the most stable, with the next structure 6 meV/atom higher.

w:
DFT (PBE) results for crystalline PrMgSb at its relaxed geometry.

```
data_PrMgSb
_cell_length_a 5.2329
_cell_length_b 5.2329
_cell_length_c 5.2329
_cell_angle_alpha 60.00
_cell_angle_beta 60.00
_cell_angle_gamma 60.00
_symmetry_space_group_name_H-M 'P 1'
_symmetry_Int_Tables_number 1
loop_
_symmetry_equiv_pos_as_xyz
'x,y,z'
loop_
_atom_site_label
_atom_site_fract_x
_atom_site_fract_y
_atom_site_fract_z
Mg1 0.5000 0.5000 0.5000
Pr1 0.2500 0.2500 0.2500
Sb1 0.0000 0.0000 0.0000
```

## Properties
V in Å³ per atom: 33.78

x:
DFT (PBE) results for crystalline PrMgSb at its relaxed geometry.

```
data_PrMgSb
_cell_length_a 5.0904
_cell_length_b 5.0904
_cell_length_c 5.0904
_cell_angle_alpha 60.00
_cell_angle_beta 60.00
_cell_angle_gamma 60.00
_symmetry_space_group_name_H-M 'P 1'
_symmetry_Int_Tables_number 1
loop_
_symmetry_equiv_pos_as_xyz
'x,y,z'
loop_
_atom_site_label
_atom_site_fract_x
_atom_site_fract_y
_atom_site_fract_z
Mg1 0.7500 0.7500 0.7500
Pr1 0.2500 0.2500 0.2500
Sb1 0.0000 0.0000 0.0000
```

## Properties
V in Å³ per atom: 31.09

We find x to be the most stable, with the next structure 117 meV/atom higher.

w:
DFT (PBE) results for crystalline PrMgSc at its relaxed geometry.

```
data_PrMgSc
_cell_length_a 5.1251
_cell_length_b 5.1251
_cell_length_c 5.1251
_cell_angle_alpha 60.00
_cell_angle_beta 60.00
_cell_angle_gamma 60.00
_symmetry_space_group_name_H-M 'P 1'
_symmetry_Int_Tables_number 1
loop_
_symmetry_equiv_pos_as_xyz
'x,y,z'
loop_
_atom_site_label
_atom_site_fract_x
_atom_site_fract_y
_atom_site_fract_z
Mg1 0.0000 0.0000 0.0000
Pr1 0.2500 0.2500 0.2500
Sc1 0.7500 0.7500 0.7500
```

## Properties
V in Å³ per atom: 31.73

x:
DFT (PBE) results for crystalline PrMgSc at its relaxed geometry.

```
data_PrMgSc
_cell_length_a 5.1521
_cell_length_b 5.1521
_cell_length_c 5.1521
_cell_angle_alpha 60.00
_cell_angle_beta 60.00
_cell_angle_gamma 60.00
_symmetry_space_group_name_H-M 'P 1'
_symmetry_Int_Tables_number 1
loop_
_symmetry_equiv_pos_as_xyz
'x,y,z'
loop_
_atom_site_label
_atom_site_fract_x
_atom_site_fract_y
_atom_site_fract_z
Mg1 0.2500 0.2500 0.2500
Pr1 0.0000 0.0000 0.0000
Sc1 0.7500 0.7500 0.7500
```

## Properties
V in Å³ per atom: 32.23

We find w to be the most stable, with the next structure 296 meV/atom higher.

w:
DFT (PBE) results for crystalline PrMgTa at its relaxed geometry.

```
data_PrMgTa
_cell_length_a 5.0133
_cell_length_b 5.0133
_cell_length_c 5.0133
_cell_angle_alpha 60.00
_cell_angle_beta 60.00
_cell_angle_gamma 60.00
_symmetry_space_group_name_H-M 'P 1'
_symmetry_Int_Tables_number 1
loop_
_symmetry_equiv_pos_as_xyz
'x,y,z'
loop_
_atom_site_label
_atom_site_fract_x
_atom_site_fract_y
_atom_site_fract_z
Mg1 0.2500 0.2500 0.2500
Pr1 0.0000 0.0000 0.0000
Ta1 0.7500 0.7500 0.7500
```

## Properties
V in Å³ per atom: 29.70

x:
DFT (PBE) results for crystalline PrMgTa at its relaxed geometry.

```
data_PrMgTa
_cell_length_a 4.8766
_cell_length_b 4.8766
_cell_length_c 4.8766
_cell_angle_alpha 60.00
_cell_angle_beta 60.00
_cell_angle_gamma 60.00
_symmetry_space_group_name_H-M 'P 1'
_symmetry_Int_Tables_number 1
loop_
_symmetry_equiv_pos_as_xyz
'x,y,z'
loop_
_atom_site_label
_atom_site_fract_x
_atom_site_fract_y
_atom_site_fract_z
Mg1 0.0000 0.0000 0.0000
Pr1 0.2500 0.2500 0.2500
Ta1 0.7500 0.7500 0.7500
```

## Properties
V in Å³ per atom: 27.33

We find x to be the most stable, with the next structure 357 meV/atom higher.

w:
DFT (PBE) results for crystalline PrMgTe at its relaxed geometry.

```
data_PrMgTe
_cell_length_a 5.2969
_cell_length_b 5.2969
_cell_length_c 5.2969
_cell_angle_alpha 60.00
_cell_angle_beta 60.00
_cell_angle_gamma 60.00
_symmetry_space_group_name_H-M 'P 1'
_symmetry_Int_Tables_number 1
loop_
_symmetry_equiv_pos_as_xyz
'x,y,z'
loop_
_atom_site_label
_atom_site_fract_x
_atom_site_fract_y
_atom_site_fract_z
Mg1 0.2500 0.2500 0.2500
Pr1 0.0000 0.0000 0.0000
Te1 0.7500 0.7500 0.7500
```

## Properties
V in Å³ per atom: 35.03

x:
DFT (PBE) results for crystalline PrMgTe at its relaxed geometry.

```
data_PrMgTe
_cell_length_a 5.2320
_cell_length_b 5.2320
_cell_length_c 5.2320
_cell_angle_alpha 60.00
_cell_angle_beta 60.00
_cell_angle_gamma 60.00
_symmetry_space_group_name_H-M 'P 1'
_symmetry_Int_Tables_number 1
loop_
_symmetry_equiv_pos_as_xyz
'x,y,z'
loop_
_atom_site_label
_atom_site_fract_x
_atom_site_fract_y
_atom_site_fract_z
Mg1 0.2500 0.2500 0.2500
Pr1 0.7500 0.7500 0.7500
Te1 0.0000 0.0000 0.0000
```

## Properties
V in Å³ per atom: 33.76

We find x to be the most stable, with the next structure 56 meV/atom higher.

w:
DFT (PBE) results for crystalline PrMgZr at its relaxed geometry.

```
data_PrMgZr
_cell_length_a 5.0638
_cell_length_b 5.0638
_cell_length_c 5.0638
_cell_angle_alpha 60.00
_cell_angle_beta 60.00
_cell_angle_gamma 60.00
_symmetry_space_group_name_H-M 'P 1'
_symmetry_Int_Tables_number 1
loop_
_symmetry_equiv_pos_as_xyz
'x,y,z'
loop_
_atom_site_label
_atom_site_fract_x
_atom_site_fract_y
_atom_site_fract_z
Mg1 0.0000 0.0000 0.0000
Pr1 0.2500 0.2500 0.2500
Zr1 0.7500 0.7500 0.7500
```

## Properties
V in Å³ per atom: 30.61

x:
DFT (PBE) results for crystalline PrMgZr at its relaxed geometry.

```
data_PrMgZr
_cell_length_a 5.1380
_cell_length_b 5.1380
_cell_length_c 5.1380
_cell_angle_alpha 60.00
_cell_angle_beta 60.00
_cell_angle_gamma 60.00
_symmetry_space_group_name_H-M 'P 1'
_symmetry_Int_Tables_number 1
loop_
_symmetry_equiv_pos_as_xyz
'x,y,z'
loop_
_atom_site_label
_atom_site_fract_x
_atom_site_fract_y
_atom_site_fract_z
Mg1 0.2500 0.2500 0.2500
Pr1 0.0000 0.0000 0.0000
Zr1 0.7500 0.7500 0.7500
```

## Properties
V in Å³ per atom: 31.97

We find w to be the most stable, with the next structure 355 meV/atom higher.